# 1
Cs2NdScTe4 PBE optimized geometry; total DFT energy (no corrections) = -4.480 eV per atom; raw formation energy = -1.308 eV per atom
1.0
4.527 0.000 0.000
0.000 7.856 0.135
0.000 -2.758 8.854
Te Cs Nd Sc
4 2 1 1
Direct
0.500 0.211 0.183
0.000 0.747 0.191
0.000 0.253 0.809
0.500 0.789 0.817
0.000 0.500 0.500
0.500 0.000 0.500
0.500 0.500 0.000
0.000 0.000 0.000

***

# 2
CsNdScTe3 PBE optimized geometry; total DFT energy (no corrections) = -4.815 eV per atom; raw formation energy = -1.252 eV per atom
1.0
4.733 0.000 0.000
0.000 10.330 -0.579
0.000 -3.330 10.670
Te Sc Cs Nd
6 2 2 2
Direct
0.750 0.880 0.134
0.250 0.120 0.866
0.250 0.796 0.453
0.750 0.204 0.547
0.750 0.471 0.165
0.250 0.529 0.835
0.750 0.913 0.393
0.250 0.087 0.607
0.250 0.212 0.236
0.750 0.788 0.764
0.750 0.337 0.866
0.250 0.663 0.134

***

# 3
Cs3Nd3ScTe8 PBE optimized geometry; total DFT energy (no corrections) = -4.516 eV per atom; raw formation energy = -1.294 eV per atom
1.0
-5.189 5.651 -4.702
0.450 -8.683 -2.323
-5.696 2.034 8.731
Te Sc Nd Cs
8 1 3 3
Direct
0.220 0.439 0.687
0.748 0.968 0.687
0.780 0.032 0.313
0.780 0.561 0.313
0.220 0.968 0.687
0.733 0.466 0.698
0.252 0.032 0.313
0.267 0.534 0.302
0.000 0.000 0.500
0.500 0.500 0.500
0.000 0.500 0.500
0.500 0.000 0.500
0.500 0.500 0.000
0.000 0.500 0.000
0.000 0.000 0.000

***

# 4
CsNd4Se6 PBE optimized geometry; total DFT energy (no corrections) = -5.234 eV per atom; raw formation energy = -1.522 eV per atom; excess energy over the best structure of this formula in the dataset = 256.6 meV per atom
1.0
7.792 0.074 0.109
-3.537 6.943 -0.109
-3.537 -2.654 6.417
Se Nd Cs
6 4 1
Direct
0.699 0.167 0.167
0.000 0.531 0.833
0.301 0.469 0.469
0.000 0.833 0.531
0.500 0.000 0.500
0.500 0.500 0.000
0.616 0.412 0.412
0.000 0.588 0.203
0.384 0.797 0.797
0.000 0.203 0.588
0.000 0.000 0.000